No. 1
Computed, not measured: a relaxed TcAgGeOs2 crystal at the PBE-GGA level of DFT.

a = 4.6369 Å, b = 4.6369 Å, c = 5.1006 Å
α = 90.00°, β = 90.00°, γ = 90.00°
Element x y z (fractional)
Tc1 0.0000 0.0000 0.0000
Ag1 0.0000 0.0000 0.5000
Ge1 0.5000 0.5000 0.5000
Os1 0.0000 0.5000 0.0000
Os2 0.5000 0.0000 0.0000

* energy of formation from the pure elements: 1.871 eV per atom



No. 2
Computed, not measured: a relaxed MnNbFe2Se crystal at the PBE-GGA level of DFT.

a = 4.3209 Å, b = 4.3209 Å, c = 4.3685 Å
α = 90.00°, β = 90.00°, γ = 90.00°
Element x y z (fractional)
Mn1 0.0000 0.0000 0.0000
Nb1 0.5000 0.5000 0.0000
Fe1 0.0000 0.5000 0.5000
Fe2 0.5000 0.0000 0.5000
Se1 0.0000 0.0000 0.5000

* offset from the most stable computed form: 0 meV per atom



No. 3
Computed, not measured: a relaxed La2CdAu3 crystal at the PBE-GGA level of DFT.

a = 9.6838 Å, b = 9.6838 Å, c = 9.6838 Å
α = 155.33°, β = 154.98°, γ = 35.42°
Element x y z (fractional)
La1 0.0000 0.0000 0.0000
La2 0.7270 0.2270 0.5000
Cd1 0.4006 0.4006 0.0000
Au1 0.1533 0.6533 0.5000
Au2 0.3033 0.8033 0.5000
Au3 0.5548 0.5548 0.0000

* energy of formation from the pure elements: -0.671 eV per atom
* offset from the most stable computed form: 39 meV per atom